[1]
DFT (GGA-PBE) results for a relaxed LaTiCu2 crystal.

The symmetry is I-42d, No. 122. The calculation puts the formation energy from the elements at 417 meV per atom. The total energy is -4.84 eV/atom. The offset from the most stable computed form comes out at 0.449 eV per atom. As for the total magnetic moment: 3.2 μB per cell.

a b c (Å): 9.283 9.283 9.283
angles (deg): 151.01 151.01 41.46
Sites, in units of the cell vectors:
La 0.000 0.000 0.000
La 0.750 0.250 0.500
Ti 0.250 0.750 0.500
Ti 0.500 0.500 0.000
Cu 0.317 0.625 0.192
Cu 0.375 0.567 0.692
Cu 0.433 0.125 0.808
Cu 0.875 0.683 0.308



[2]
DFT (GGA-PBE) results for a relaxed LaRe2Se crystal.

The symmetry is R3m, No. 160. The total energy is -8.49 eV/atom. As for the total magnetic moment: 0.0 μB per cell.

a b c (Å): 5.907 5.907 5.907
angles (deg): 42.87 42.87 42.87
Sites, in units of the cell vectors:
La 0.000 0.000 0.000
Re 0.486 0.486 0.486
Re 0.798 0.798 0.798
Se 0.218 0.218 0.218



[3]
DFT (GGA-PBE) results for a relaxed Th2PbF11 crystal.

The symmetry is Ibam, No. 72. The total energy is -6.28 eV/atom. As for the total magnetic moment: 0.0 μB per cell.

a b c (Å): 8.919 8.919 8.919
angles (deg): 122.21 105.90 101.14
Sites, in units of the cell vectors:
Th 0.182 0.147 0.329
Th 0.318 0.647 0.964
Th 0.682 0.353 0.036
Th 0.818 0.853 0.671
Pb 0.250 0.750 0.500
Pb 0.750 0.250 0.500
F 0.000 0.000 0.000
F 0.033 0.454 0.771
F 0.064 0.856 0.646
F 0.183 0.954 0.421
F 0.210 0.419 0.354
F 0.214 0.876 0.091
F 0.286 0.376 0.662
F 0.290 0.644 0.209
F 0.317 0.738 0.771
F 0.436 0.081 0.791
F 0.467 0.238 0.421
F 0.500 0.500 0.000
F 0.533 0.762 0.579
F 0.564 0.919 0.209
F 0.683 0.262 0.229
F 0.710 0.356 0.791
F 0.714 0.624 0.338
F 0.786 0.124 0.909
F 0.790 0.581 0.646
F 0.817 0.046 0.579
F 0.936 0.144 0.354
F 0.967 0.546 0.229